Material: CaIn3
Method: DFT, GGA-PBEsol
State: optimized geometry

The calculation puts the magnetic moment at 0.0 μB/f.u. The volume comes out at 208 Å³/cell. Its total energy is -24.39 eV per cell. The calculation puts the formation energy at -278 meV/atom. The calculation puts the mass density at 6.14 Mg/m³.

The structure belongs to space group Cmmm (No. 65); the cell edges are 5.3842, 5.3951 and 7.1626 Å and the angles 90.00°, 90.00° and 90.00°. The distinct sites, in fractional coordinates, are Ca at (0.0000, 0.0000, 0.0000), In at (0.0000, 0.0000, 0.5000) and In at (0.0000, 0.5000, 0.2759).

Material: Sr2ZrMnO6
Method: DFT, GGA-PBEsol
State: optimized geometry

The calculation puts the magnetic moment at 3.0 μB/f.u. The value obtained for the formation energy without anion corrections is -2.83 eV/atom. The volume comes out at 490 Å³/cell. Its total energy is -329.47 eV per cell. The calculation puts the mass density at 5.66 Mg/m³.

The structure belongs to space group Fm-3m (No. 225); the cell edges are 7.8818, 7.8818 and 7.8818 Å and the angles 90.00°, 90.00° and 90.00°. The distinct sites, in fractional coordinates, are Sr at (0.2500, 0.2500, 0.2500), Zr at (0.0000, 0.0000, 0.0000), Mn at (0.0000, 0.0000, 0.5000) and O at (0.0000, 0.0000, 0.2610).

Material: BeRh2
Method: DFT, GGA-PBEsol
State: optimized geometry

The calculation puts the magnetic moment at 0.0 μB/f.u. The volume comes out at 138 Å³/cell. Its total energy is -85.18 eV per cell. The calculation puts the formation energy at -340 meV/atom. The calculation puts the mass density at 10.31 Mg/m³.

The structure belongs to space group Cmcm (No. 63); the cell edges are 2.7270, 12.3408 and 4.1132 Å and the angles 90.00°, 90.00° and 90.00°. The distinct sites, in fractional coordinates, are Be at (0.0000, 0.0664, 0.2500), Rh at (0.0000, 0.2785, 0.7500) and Rh at (0.0000, 0.4170, 0.2500).

Material: Zn2TcPd
Method: DFT, GGA-PBEsol
State: optimized geometry

The calculation puts the magnetic moment at 1.3 μB/f.u. The volume comes out at 219 Å³/cell. Its total energy is -81.55 eV per cell. The calculation puts the formation energy at 0 meV/atom. The calculation puts the mass density at 10.15 Mg/m³.

The structure belongs to space group Fm-3m (No. 225); the cell edges are 6.0303, 6.0303 and 6.0303 Å and the angles 90.00°, 90.00° and 90.00°. The distinct sites, in fractional coordinates, are Zn at (0.2500, 0.2500, 0.2500), Tc at (0.0000, 0.0000, 0.0000) and Pd at (0.0000, 0.0000, 0.5000).

Material: TaCoSeBr2
Method: DFT, GGA-PBEsol
State: optimized geometry

The calculation puts the magnetic moment at 3.0 μB/f.u. The value obtained for the formation energy without anion corrections is 0.64 eV/atom. The volume comes out at 127 Å³/cell. Its total energy is -24.70 eV per cell. The calculation puts the mass density at 6.26 Mg/m³.

The structure belongs to space group P4/mmm (No. 123); the cell edges are 5.0571, 5.0571 and 4.9617 Å and the angles 90.00°, 90.00° and 90.00°. The distinct sites, in fractional coordinates, are Ta at (0.0000, 0.0000, 0.0000), Co at (0.5000, 0.5000, 0.5000), Se at (0.0000, 0.0000, 0.5000) and Br at (0.0000, 0.5000, 0.0000).

Material: TbPmRh2
Method: DFT, GGA-PBEsol
State: optimized geometry

The calculation puts the magnetic moment at 0.0 μB/f.u. The volume comes out at 321 Å³/cell. Its total energy is -116.92 eV per cell. The calculation puts the formation energy at -701 meV/atom. The calculation puts the mass density at 10.55 Mg/m³.

The structure belongs to space group Fm-3m (No. 225); the cell edges are 6.8463, 6.8463 and 6.8463 Å and the angles 90.00°, 90.00° and 90.00°. The distinct sites, in fractional coordinates, are Tb at (0.0000, 0.0000, 0.0000), Pm at (0.0000, 0.0000, 0.5000) and Rh at (0.2500, 0.2500, 0.2500).

Material: Ho2MgOs
Method: DFT, GGA-PBEsol
State: optimized geometry

The calculation puts the magnetic moment at 0.0 μB/f.u. The volume comes out at 334 Å³/cell. Its total energy is -97.80 eV per cell. The calculation puts the formation energy at -154 meV/atom. The calculation puts the mass density at 10.84 Mg/m³.

The structure belongs to space group Fm-3m (No. 225); the cell edges are 6.9363, 6.9363 and 6.9363 Å and the angles 90.00°, 90.00° and 90.00°. The distinct sites, in fractional coordinates, are Ho at (0.2500, 0.2500, 0.2500), Mg at (0.0000, 0.0000, 0.0000) and Os at (0.0000, 0.0000, 0.5000).

Material: BPS2Cl
Method: DFT, GGA-PBEsol
State: optimized geometry

The calculation puts the magnetic moment at 0.0 μB/f.u. The value obtained for the formation energy without anion corrections is 1.96 eV/atom. The volume comes out at 94 Å³/cell. Its total energy is -13.79 eV per cell. The calculation puts the mass density at 2.48 Mg/m³.

The structure belongs to space group P4/mmm (No. 123); the cell edges are 4.5820, 4.5820 and 4.5006 Å and the angles 90.00°, 90.00° and 90.00°. The distinct sites, in fractional coordinates, are B at (0.0000, 0.0000, 0.0000), P at (0.5000, 0.5000, 0.0000), S at (0.0000, 0.5000, 0.5000) and Cl at (0.5000, 0.5000, 0.5000).

Material: Fe2AgTe
Method: DFT, GGA-PBEsol
State: optimized geometry

The calculation puts the magnetic moment at 4.6 μB/f.u. The value obtained for the formation energy without anion corrections is 0.61 eV/atom. The volume comes out at 192 Å³/cell. Its total energy is -66.95 eV per cell. The calculation puts the mass density at 9.03 Mg/m³.

The structure belongs to space group R-3m (No. 166, hexagonal axes); the cell edges are 3.0294, 3.0294 and 24.0999 Å and the angles 90.00°, 90.00° and 120.00°. The distinct sites, in fractional coordinates, are Fe at (0.0000, 0.0000, 0.2482), Ag at (0.0000, 0.0000, 0.0000) and Te at (0.0000, 0.0000, 0.5000).

Material: CrHI2O
Method: DFT, GGA-PBEsol
State: optimized geometry

The calculation puts the magnetic moment at 4.0 μB/f.u. The volume comes out at 87 Å³/cell. Its total energy is -19.66 eV per cell. The calculation puts the mass density at 6.16 Mg/m³.

The structure belongs to space group P4/mmm (No. 123); the cell edges are 5.4686, 5.4686 and 2.9102 Å and the angles 90.00°, 90.00° and 90.00°. The distinct sites, in fractional coordinates, are Cr at (0.0000, 0.0000, 0.0000), H at (0.5000, 0.5000, 0.5000), I at (0.0000, 0.5000, 0.5000) and O at (0.5000, 0.5000, 0.0000).

Material: CsLiOsO2
Method: DFT, GGA-PBEsol
State: optimized geometry

The calculation puts the magnetic moment at 4.1 μB/f.u. The value obtained for the formation energy without anion corrections is 1.67 eV/atom. The volume comes out at 103 Å³/cell. Its total energy is -17.30 eV per cell. The calculation puts the mass density at 5.81 Mg/m³.

The structure belongs to space group P4/mmm (No. 123); the cell edges are 4.4538, 4.4538 and 5.2139 Å and the angles 90.00°, 90.00° and 90.00°. The distinct sites, in fractional coordinates, are Cs at (0.0000, 0.0000, 0.0000), Li at (0.0000, 0.0000, 0.5000), Os at (0.5000, 0.5000, 0.5000) and O at (0.0000, 0.5000, 0.0000).

Material: Ag3BIr
Method: DFT, GGA-PBEsol
State: optimized geometry

The calculation puts the magnetic moment at 0.0 μB/f.u. The volume comes out at 121 Å³/cell. Its total energy is -15.75 eV per cell. The calculation puts the formation energy at 2204 meV/atom. The calculation puts the mass density at 7.22 Mg/m³.

The structure belongs to space group Pm-3m (No. 221); the cell edges are 4.9481, 4.9481 and 4.9481 Å and the angles 90.00°, 90.00° and 90.00°. The distinct sites, in fractional coordinates, are Ag at (0.0000, 0.0000, 0.5000), B at (0.5000, 0.5000, 0.5000) and Ir at (0.0000, 0.0000, 0.0000).